No. 1
Entry from Alexandria via LeMat-Bulk: a relaxed Y2Tl2Pb crystal (PBE).

Cell lengths 8.6917, 8.6917, 3.8263 Å; angles 90.00, 90.00, 90.00 degrees
Space group P4/mbm (No. 127)
Symmetry-distinct sites (fractional):
Y  0.1757  0.3243  0.0000 [4 per cell]
Tl  0.1249  0.6249  0.5000 [4 per cell]
Pb  0.0000  0.0000  0.5000 [2 per cell]

Calculated values
VASP energy: -4.561 eV per atom
Total magnetization: 0.000 μB/atom
Formation enthalpy at 0 K: -0.287 eV/atom
Theoretical density: 9.12 g/cm³



No. 2
Entry from Alexandria via LeMat-Bulk: a relaxed Y2TlPb5 crystal (PBE).

Cell lengths 9.6234, 9.7238, 6.8692 Å; angles 90.00, 134.04, 90.00 degrees
Space group C2/m (No. 12)
Symmetry-distinct sites (fractional):
Y  0.2500  0.2500  0.0000 [4 per cell]
Tl  0.0000  0.0000  0.0000 [2 per cell]
Pb  0.0000  0.0000  0.5000 [2 per cell]
Pb  0.0000  0.5000  0.0000 [2 per cell]
Pb  0.0000  0.5000  0.5000 [2 per cell]
Pb  0.2500  0.2500  0.5000 [4 per cell]

Calculated values
VASP energy: -4.518 eV per atom
Total magnetization: 0.000 μB/atom
Formation enthalpy at 0 K: -0.288 eV/atom
Theoretical density: 10.19 g/cm³



No. 3
Entry from Alexandria via LeMat-Bulk: a relaxed YTlPb2 crystal (PBE).

Cell lengths 7.8344, 7.8344, 7.8344 Å; angles 90.00, 90.00, 90.00 degrees
Space group F-43m (No. 216)
Symmetry-distinct sites (fractional):
Y  0.0000  0.0000  0.0000 [4 per cell]
Tl  0.2500  0.2500  0.7500 [4 per cell]
Pb  0.0000  0.0000  0.5000 [4 per cell]
Pb  0.2500  0.2500  0.2500 [4 per cell]

Calculated values
VASP energy: -4.163 eV per atom
Total magnetization: 0.000 μB/atom
Formation enthalpy at 0 K: -0.101 eV/atom
Theoretical density: 9.78 g/cm³



No. 4
Entry from Alexandria via LeMat-Bulk: a relaxed YTlPb2 crystal (PBE).

Cell lengths 12.3625, 3.6064, 5.6758 Å; angles 90.00, 112.60, 90.00 degrees
Space group Cm (No. 8)
Symmetry-distinct sites (fractional):
Y  0.0000  0.0000  0.0000 [2 per cell]
Tl  0.2435  0.0000  0.5851 [2 per cell]
Pb  0.2441  0.5000  0.0737 [2 per cell]
Pb  0.4946  0.0000  0.4869 [2 per cell]

Calculated values
VASP energy: -4.278 eV per atom
Total magnetization: 0.000 μB/atom
Formation enthalpy at 0 K: -0.216 eV/atom
Theoretical density: 10.06 g/cm³



No. 5
Entry from Alexandria via LeMat-Bulk: a relaxed YTl2Pb2 crystal (PBE).

Cell lengths 4.7169, 6.0228, 6.0891 Å; angles 75.73, 67.55, 67.15 degrees
Space group P-1 (No. 2)
Symmetry-distinct sites (fractional):
Y  0.0000  0.0000  0.0000 [1 per cell]
Tl  0.2018  0.1944  0.4030 [2 per cell]
Pb  0.3858  0.4123  0.8140 [2 per cell]

Calculated values
VASP energy: -3.876 eV per atom
Total magnetization: 0.000 μB/atom
Formation enthalpy at 0 K: -0.153 eV/atom
Theoretical density: 10.35 g/cm³



No. 6
Entry from Alexandria via LeMat-Bulk: a relaxed YTlPb2 crystal (PBE).

Cell lengths 3.6847, 3.6847, 30.7947 Å; angles 90.00, 90.00, 120.00 degrees
Space group R3m (No. 160, hexagonal axes)
Symmetry-distinct sites (fractional):
Y  0.0000  0.0000  0.0000 [3 per cell]
Tl  0.0000  0.0000  0.2513 [3 per cell]
Pb  0.0000  0.0000  0.5020 [3 per cell]
Pb  0.0000  0.0000  0.7501 [3 per cell]

Calculated values
VASP energy: -4.149 eV per atom
Total magnetization: 0.000 μB/atom
Formation enthalpy at 0 K: -0.087 eV/atom
Theoretical density: 9.74 g/cm³



No. 7
Entry from Alexandria via LeMat-Bulk: a relaxed YTlPb2 crystal (PBE).

Cell lengths 8.6915, 8.6915, 6.5358 Å; angles 90.00, 90.00, 90.00 degrees
Space group I-42d (No. 122)
Symmetry-distinct sites (fractional):
Y  0.0000  0.0000  0.0000 [4 per cell]
Tl  0.0000  0.0000  0.5000 [4 per cell]
Pb  0.2378  0.2500  0.6250 [8 per cell]

Calculated values
VASP energy: -4.088 eV per atom
Total magnetization: 0.000 μB/atom
Formation enthalpy at 0 K: -0.026 eV/atom
Theoretical density: 9.52 g/cm³



No. 8
Entry from Alexandria via LeMat-Bulk: a relaxed Yb2TlPb crystal (PBE).

Cell lengths 7.7567, 7.7567, 7.7567 Å; angles 90.00, 90.00, 90.00 degrees
Space group Fm-3m (No. 225)
Symmetry-distinct sites (fractional):
Yb  0.2500  0.2500  0.2500 [8 per cell]
Tl  0.0000  0.0000  0.0000 [4 per cell]
Pb  0.0000  0.0000  0.5000 [4 per cell]

Calculated values
VASP energy: -2.796 eV per atom
Total magnetization: 0.083 μB/atom
Formation enthalpy at 0 K: -0.514 eV/atom
Theoretical density: 10.78 g/cm³